Compound: KYAg2
Source: Alexandria
Functional: PBEsol
Structure: relaxed

POSCAR file:
```
KYAg2
1.0
4.4422 0.0000 0.0000
0.0000 4.4422 0.0000
-2.2211 -2.2211 4.8876
Ag K Y
2 1 1
direct
0.7500 0.2500 0.5000
0.0000 0.0000 0.0000
0.5000 0.5000 0.0000
0.2500 0.7500 0.5000
```

Properties
* crystal system: tetragonal
* energy of formation from the pure elements: 0.2561 eV/atom
* electronic total energy: -13.553 eV per cell